Entry 1:
KScTiSe2 (PBE, relaxed); uncorrected formation energy = 9 kJ/mol of atoms
1.0
5.0442 0.0000 0.0000
0.0000 5.0442 0.0000
0.0000 0.0000 5.2518
K Sc Ti Se
1 1 1 2
Direct
0.0000 0.0000 0.0000 K
0.5000 0.5000 0.0000 Sc
0.0000 0.0000 0.5000 Ti
0.0000 0.5000 0.5000 Se
0.5000 0.0000 0.5000 Se


Entry 2:
K3Sc2TiSe6 (PBE, relaxed); uncorrected formation energy = -141 kJ/mol of atoms
1.0
3.4283 -5.9383 0.0000
3.4283 5.9383 0.0000
-2.2866 0.0000 7.6199
K Sc Ti Se
3 2 1 6
Direct
0.0000 0.0000 0.0000 K
0.3314 0.6686 0.0000 K
0.6686 0.3314 0.0000 K
0.1664 0.8336 0.5000 Sc
0.8336 0.1664 0.5000 Sc
0.5000 0.5000 0.5000 Ti
0.1103 0.4355 0.3064 Se
0.2396 0.2396 0.6943 Se
0.4355 0.1103 0.3064 Se
0.5645 0.8897 0.6936 Se
0.7604 0.7604 0.3057 Se
0.8897 0.5645 0.6936 Se


Entry 3:
K4Tm3ScSe8 (PBE, relaxed); uncorrected formation energy = -166 kJ/mol of atoms
1.0
4.1269 2.3827 7.6588
-4.1269 2.3827 7.6588
0.0000 -4.7653 7.6588
K Tm Sc Se
4 3 1 8
Direct
0.0000 0.0000 0.0000 K
0.0000 0.5000 0.5000 K
0.5000 0.0000 0.5000 K
0.5000 0.5000 0.0000 K
0.0000 0.0000 0.5000 Tm
0.0000 0.5000 0.0000 Tm
0.5000 0.0000 0.0000 Tm
0.5000 0.5000 0.5000 Sc
0.2347 0.2347 0.2347 Se
0.2410 0.7294 0.7294 Se
0.2706 0.2706 0.7590 Se
0.2706 0.7590 0.2706 Se
0.7294 0.2410 0.7294 Se
0.7294 0.7294 0.2410 Se
0.7590 0.2706 0.2706 Se
0.7653 0.7653 0.7653 Se


Entry 4:
K3Tm3ScSe8 (PBE, relaxed); uncorrected formation energy = -159 kJ/mol of atoms
1.0
4.0523 2.3396 7.8906
-4.0523 2.3396 7.8906
0.0000 -4.6792 7.8906
K Tm Sc Se
3 3 1 8
Direct
0.0000 0.5000 0.5000 K
0.5000 0.0000 0.5000 K
0.5000 0.5000 0.0000 K
0.0000 0.0000 0.5000 Tm
0.0000 0.5000 0.0000 Tm
0.5000 0.0000 0.0000 Tm
0.5000 0.5000 0.5000 Sc
0.2346 0.2346 0.2346 Se
0.2405 0.7282 0.7282 Se
0.2718 0.2718 0.7595 Se
0.2718 0.7595 0.2718 Se
0.7282 0.2405 0.7282 Se
0.7282 0.7282 0.2405 Se
0.7595 0.2718 0.2718 Se
0.7654 0.7654 0.7654 Se


Entry 5:
K3Sc3USe8 (PBE, relaxed); uncorrected formation energy = -148 kJ/mol of atoms
1.0
4.0066 2.3132 7.7575
-4.0066 2.3132 7.7575
0.0000 -4.6265 7.7575
K Sc U Se
3 3 1 8
Direct
0.0000 0.5000 0.5000 K
0.5000 0.0000 0.5000 K
0.5000 0.5000 0.0000 K
0.0000 0.0000 0.5000 Sc
0.0000 0.5000 0.0000 Sc
0.5000 0.0000 0.0000 Sc
0.5000 0.5000 0.5000 U
0.2220 0.7374 0.7374 Se
0.2313 0.2313 0.2313 Se
0.2626 0.2626 0.7780 Se
0.2626 0.7780 0.2626 Se
0.7374 0.2220 0.7374 Se
0.7374 0.7374 0.2220 Se
0.7687 0.7687 0.7687 Se
0.7780 0.2626 0.2626 Se


Entry 6:
K2ScUSe4 (PBE, relaxed); uncorrected formation energy = -136 kJ/mol of atoms
1.0
7.1162 0.0000 0.0000
0.0000 4.1289 0.0000
-2.3770 0.0000 7.6970
K Sc U Se
2 1 1 4
Direct
0.0000 0.0000 0.0000 K
0.5000 0.5000 0.0000 K
0.0000 0.5000 0.5000 Sc
0.5000 0.0000 0.5000 U
0.2225 0.0000 0.6989 Se
0.2537 0.5000 0.2944 Se
0.7463 0.5000 0.7056 Se
0.7775 0.0000 0.3011 Se


Entry 7:
K4Sc3USe8 (PBE, relaxed); uncorrected formation energy = -146 kJ/mol of atoms
1.0
4.0700 2.3498 7.6554
-4.0700 2.3498 7.6554
0.0000 -4.6997 7.6554
K Sc U Se
4 3 1 8
Direct
0.0000 0.0000 0.0000 K
0.0000 0.5000 0.5000 K
0.5000 0.0000 0.5000 K
0.5000 0.5000 0.0000 K
0.0000 0.0000 0.5000 Sc
0.0000 0.5000 0.0000 Sc
0.5000 0.0000 0.0000 Sc
0.5000 0.5000 0.5000 U
0.2224 0.7389 0.7389 Se
0.2314 0.2314 0.2314 Se
0.2611 0.2611 0.7776 Se
0.2611 0.7776 0.2611 Se
0.7389 0.2224 0.7389 Se
0.7389 0.7389 0.2224 Se
0.7686 0.7686 0.7686 Se
0.7776 0.2611 0.2611 Se


Entry 8:
K2Sc2USe6 (PBE, relaxed); uncorrected formation energy = -145 kJ/mol of atoms
1.0
3.4640 -6.0368 0.0000
3.4640 6.0368 0.0000
-2.3058 0.0000 7.8475
K Sc U Se
2 2 1 6
Direct
0.1651 0.8349 0.0000 K
0.8349 0.1651 0.0000 K
0.3327 0.6673 0.5000 Sc
0.6673 0.3327 0.5000 Sc
0.0000 0.0000 0.5000 U
0.0646 0.4064 0.6950 Se
0.2785 0.2785 0.3052 Se
0.4064 0.0646 0.6950 Se
0.5936 0.9354 0.3050 Se
0.7215 0.7215 0.6948 Se
0.9354 0.5936 0.3050 Se


Entry 9:
K2ScUSe6 (PBE, relaxed); uncorrected formation energy = -113 kJ/mol of atoms
1.0
7.5407 0.0000 0.0000
0.0000 10.6645 0.0000
0.0000 0.0000 7.5355
K Sc U Se
4 2 2 12
Direct
0.2500 0.0002 0.2501 K
0.2500 0.4998 0.2501 K
0.7500 0.9998 0.7499 K
0.7500 0.5002 0.7499 K
0.2500 0.2500 0.7491 Sc
0.7500 0.7500 0.2509 Sc
0.2500 0.7500 0.7509 U
0.7500 0.2500 0.2491 U
0.0001 0.2500 0.9985 Se
0.9999 0.7500 0.0015 Se
0.0005 0.2500 0.4994 Se
0.2500 0.0002 0.7504 Se
0.2500 0.4998 0.7504 Se
0.4995 0.2500 0.4994 Se
0.4999 0.2500 0.9985 Se
0.5001 0.7500 0.0015 Se
0.5005 0.7500 0.5006 Se
0.7500 0.9998 0.2496 Se
0.7500 0.5002 0.2496 Se
0.9995 0.7500 0.5006 Se


Entry 10:
K3Sc2VSe6 (PBE, relaxed); uncorrected formation energy = -131 kJ/mol of atoms
1.0
3.4203 -5.9248 0.0000
3.4203 5.9248 0.0000
-2.2837 0.0000 7.6052
K Sc V Se
3 2 1 6
Direct
0.0000 0.0000 0.0000 K
0.3307 0.6693 0.0000 K
0.6693 0.3307 0.0000 K
0.1663 0.8337 0.5000 Sc
0.8337 0.1663 0.5000 Sc
0.5000 0.5000 0.5000 V
0.1139 0.4361 0.3083 Se
0.2422 0.2422 0.6926 Se
0.4361 0.1139 0.3083 Se
0.5639 0.8861 0.6917 Se
0.7578 0.7578 0.3074 Se
0.8861 0.5639 0.6917 Se